Record 1
{"formula": "NaTcP2", "functional": "PBE-GGA", "state": "relaxed", "lattice": [[6.153, 0.000, 0.000], [0.000, 6.153, 0.000], [3.077, 3.077, 5.467]], "species": ["P", "P", "P", "P", "Tc", "Tc", "Na", "Na"], "fractional_positions": [[0.732, 0.125, 0.250], [0.018, 0.625, 0.250], [0.375, 0.268, 0.750], [0.875, 0.982, 0.750], [0.000, 0.000, 0.000], [0.750, 0.250, 0.500], [0.500, 0.500, 0.000], [0.250, 0.750, 0.500]], "vol_a3_per_atom": 25.88, "ef_ev_per_fu": -0.30, "sg": "I-42d (122)", "magmom_total_mub_per_fu": 0.00}


Record 2
{"formula": "NaYTcP2", "functional": "PBE-GGA", "state": "relaxed", "lattice": [[4.816, 0.000, 0.000], [0.000, 4.561, 0.000], [0.000, 0.000, 4.816]], "species": ["Y", "P", "P", "Tc", "Na"], "fractional_positions": [[0.500, 0.500, 0.500], [0.000, 0.000, 0.500], [0.500, 0.000, 0.000], [0.000, 0.500, 0.000], [0.000, 0.000, 0.000]], "vol_a3_per_atom": 21.16, "ef_ev_per_fu": 5.29, "sg": "P4/mmm (123)", "magmom_total_mub_per_fu": 2.48}


Record 3
{"formula": "NaZrTc2P", "functional": "PBE-GGA", "state": "relaxed", "lattice": [[4.758, 0.000, 0.000], [0.000, 5.308, 0.000], [0.000, 0.000, 4.758]], "species": ["P", "Tc", "Tc", "Zr", "Na"], "fractional_positions": [[0.500, 0.500, 0.500], [0.000, 0.000, 0.500], [0.500, 0.000, 0.000], [0.000, 0.000, 0.000], [0.000, 0.500, 0.000]], "vol_a3_per_atom": 24.03, "ef_ev_per_fu": 9.22, "sg": "P4/mmm (123)", "magmom_total_mub_per_fu": 1.75}


Record 4
{"formula": "NaTe2P", "functional": "PBE-GGA", "state": "relaxed", "lattice": [[-1.516, -0.649, -6.481], [3.845, -5.460, -0.353], [-4.101, -6.867, -1.803]], "species": ["P", "P", "Te", "Te", "Te", "Te", "Na", "Na"], "fractional_positions": [[0.000, 0.000, 0.000], [0.750, 0.250, 0.500], [0.690, 0.125, 0.250], [0.060, 0.625, 0.250], [0.375, 0.310, 0.750], [0.875, 0.940, 0.750], [0.500, 0.500, 0.000], [0.250, 0.750, 0.500]], "vol_a3_per_atom": 37.44, "raw_formation_energy_ev_per_atom": -0.0884, "sg": "I-42d (122)", "magmom_total_mub_per_fu": 0.00}


Record 5
{"formula": "Na3Te4P", "functional": "PBE-GGA", "state": "relaxed", "lattice": [[9.258, 0.000, 0.000], [0.000, 10.840, 0.000], [0.000, 0.000, 10.765]], "species": ["Na", "Na", "Na", "Na", "Na", "Na", "Na", "Na", "Na", "Na", "Na", "Na", "Te", "Te", "Te", "Te", "Te", "Te", "Te", "Te", "Te", "Te", "Te", "Te", "Te", "Te", "Te", "Te", "P", "P", "P", "P"], "fractional_positions": [[0.344, 0.557, 0.750], [0.844, 0.943, 0.750], [0.656, 0.443, 0.250], [0.156, 0.057, 0.250], [0.360, 0.774, 0.029], [0.860, 0.726, 0.471], [0.640, 0.226, 0.529], [0.140, 0.274, 0.971], [0.640, 0.226, 0.971], [0.140, 0.274, 0.529], [0.360, 0.774, 0.471], [0.860, 0.726, 0.029], [0.153, 0.984, 0.563], [0.653, 0.516, 0.937], [0.847, 0.016, 0.063], [0.347, 0.484, 0.437], [0.847, 0.016, 0.437], [0.347, 0.484, 0.063], [0.153, 0.984, 0.937], [0.653, 0.516, 0.563], [0.423, 0.219, 0.750], [0.923, 0.281, 0.750], [0.577, 0.781, 0.250], [0.077, 0.719, 0.250], [0.497, 0.838, 0.750], [0.997, 0.662, 0.750], [0.503, 0.162, 0.250], [0.003, 0.338, 0.250], [0.317, 0.009, 0.750], [0.817, 0.491, 0.750], [0.683, 0.991, 0.250], [0.183, 0.509, 0.250]], "vol_a3_per_atom": 33.76, "raw_formation_energy_ev_per_atom": -0.4762, "sg": "Pnma (62)", "magmom_total_mub_per_fu": 0.00}


Record 6
{"formula": "Na8TeP2", "functional": "PBE-GGA", "state": "relaxed", "lattice": [[-4.101, 1.746, -1.910], [-1.779, -6.822, -2.416], [-0.584, 1.208, 8.515]], "species": ["Na", "Na", "Na", "Na", "Na", "Na", "Na", "Na", "Te", "P", "P"], "fractional_positions": [[0.665, 0.885, 0.330], [0.335, 0.555, 0.670], [0.167, 0.167, 0.334], [0.000, 0.306, 0.000], [0.833, 0.833, 0.666], [0.665, 0.445, 0.330], [0.335, 0.115, 0.670], [0.000, 0.694, 0.000], [0.500, 0.000, 0.000], [0.181, 0.681, 0.361], [0.819, 0.319, 0.639]], "vol_a3_per_atom": 24.26, "raw_formation_energy_ev_per_atom": -0.4675, "sg": "Immm (71)", "magmom_total_mub_per_fu": 0.00}


Record 7
{"formula": "Na2TeP2", "functional": "PBE-GGA", "state": "relaxed", "lattice": [[-6.414, -5.257, 1.620], [4.237, -6.308, -3.694], [1.431, -0.812, 3.028]], "species": ["P", "P", "P", "P", "Te", "Te", "Na", "Na", "Na", "Na"], "fractional_positions": [[0.417, 0.917, 0.000], [0.917, 0.583, 0.000], [0.583, 0.083, 0.000], [0.083, 0.417, 0.000], [0.000, 0.000, 0.000], [0.500, 0.500, 0.000], [0.205, 0.705, 0.500], [0.705, 0.795, 0.500], [0.795, 0.295, 0.500], [0.295, 0.205, 0.500]], "vol_a3_per_atom": 24.60, "raw_formation_energy_ev_per_atom": -0.2279, "sg": "P4/mbm (127)", "magmom_total_mub_per_fu": 0.00}


Record 8
{"formula": "NaTe2P", "functional": "PBE-GGA", "state": "relaxed", "lattice": [[-10.602, 0.607, -0.074], [-10.035, 1.270, 3.235], [-9.874, 3.796, 0.932]], "species": ["P", "Te", "Te", "Na"], "fractional_positions": [[0.000, 0.000, 0.000], [0.914, 0.914, 0.914], [0.086, 0.086, 0.086], [0.500, 0.500, 0.500]], "vol_a3_per_atom": 26.45, "raw_formation_energy_ev_per_atom": 0.2612, "sg": "R-3m (166)", "magmom_total_mub_per_fu": 0.00}